1.
ZrTcAg PBE relaxed; ρ = 8.98 g/cm3; ΔE_f = 0.132 eV per atom
1.0
-1.7014 1.7014 4.7459
1.7014 -1.7014 4.7459
1.7014 1.7014 -4.7459
Zr Tc Ag
1 1 1
direct
0.0000 0.0000 0.0000
0.3578 0.3578 0.0000
0.6864 0.6864 0.0000

***

2.
ZrTcAg PBE relaxed; ρ = 9.02 g/cm3; ΔE_f = 0.075 eV per atom
1.0
4.6272 0.0000 0.0000
0.0000 2.0815 5.6757
0.0000 -2.0815 5.6757
Zr Tc Ag
2 2 2
direct
0.0000 0.0000 0.0000
0.5000 0.1767 0.1767
0.5000 0.5013 0.5013
0.5000 0.8753 0.8753
0.0000 0.3332 0.3332
0.0000 0.6773 0.6773

***

3.
ZrTc2Ag PBE relaxed; ρ = 9.64 g/cm3; ΔE_f = 0.390 eV per atom
1.0
0.0000 3.2403 3.2403
3.2403 0.0000 3.2403
3.2403 3.2403 0.0000
Zr Tc Ag
1 2 1
direct
0.0000 0.0000 0.0000
0.2500 0.2500 0.2500
0.7500 0.7500 0.7500
0.5000 0.5000 0.5000

***

4.
ZrTc2Ag PBE relaxed; ρ = 9.65 g/cm3; ΔE_f = 0.290 eV per atom
1.0
1.6236 -2.2751 0.0000
1.6236 2.2751 0.0000
0.0000 0.0000 9.1997
Zr Tc Ag
1 2 1
direct
0.0000 0.0000 0.0000
0.5000 0.5000 0.2453
0.5000 0.5000 0.7547
0.0000 0.0000 0.5000

***

5.
AgTe PBE relaxed; ΔE_f (raw) = 0.20 eV/atom; ρ = 7.37 g/cm3
1.0
-2.0237 2.0237 6.4763
2.0237 -2.0237 6.4763
2.0237 2.0237 -6.4763
Ag Te
2 2
direct
0.3750 0.6250 0.7500
0.6250 0.3750 0.2500
0.1250 0.8750 0.2500
0.8750 0.1250 0.7500

***

6.
Ag2Te PBE relaxed; ΔE_f (raw) = -0.05 eV/atom; ρ = 8.10 g/cm3
1.0
8.0245 0.0000 0.0000
0.0000 4.5279 0.0000
-4.8266 0.0000 7.7521
Ag Te
8 4
direct
0.0321 0.1262 0.1573
0.0321 0.3738 0.6573
0.3350 0.6441 0.3447
0.3350 0.8559 0.8447
0.6650 0.1441 0.1553
0.6650 0.3559 0.6553
0.9679 0.6262 0.3427
0.9679 0.8738 0.8427
0.2730 0.1452 0.5305
0.2730 0.3548 0.0305
0.7270 0.6452 0.9695
0.7270 0.8548 0.4695